ScGa5Fe PBEsol optimized geometry; crystal system = tetragonal; spin magnetization = 0.000 μB per formula unit; DFT total energy = -5.053 eV per atom; energy of formation = -0.4433 eV/atom
1.0
4.072 0.000 0.000
0.000 4.072 0.000
0.000 0.000 6.578
Sc Ga Fe
1 5 1
Direct
0.000 0.000 0.000
0.000 0.500 0.304
0.000 0.500 0.696
0.500 0.000 0.304
0.500 0.000 0.696
0.500 0.500 0.000
0.000 0.000 0.500

=====

Sc3Ga6Fe2 PBEsol optimized geometry; crystal system = orthorhombic; spin magnetization = 2.513 μB per formula unit; DFT total energy = -5.784 eV per atom; energy of formation = -0.5316 eV/atom
1.0
7.997 0.000 0.000
0.000 8.273 0.000
0.000 0.000 10.253
Sc Ga Fe
12 24 8
Direct
0.039 0.250 0.064
0.068 0.552 0.639
0.068 0.948 0.639
0.432 0.052 0.139
0.432 0.448 0.139
0.461 0.750 0.564
0.539 0.250 0.436
0.568 0.552 0.861
0.568 0.948 0.861
0.932 0.052 0.361
0.932 0.448 0.361
0.961 0.750 0.936
0.099 0.750 0.408
0.115 0.589 0.157
0.115 0.911 0.157
0.204 0.006 0.912
0.204 0.494 0.912
0.220 0.250 0.284
0.280 0.750 0.784
0.296 0.506 0.412
0.296 0.994 0.412
0.385 0.089 0.657
0.385 0.411 0.657
0.401 0.250 0.908
0.599 0.750 0.092
0.615 0.589 0.343
0.615 0.911 0.343
0.704 0.006 0.588
0.704 0.494 0.588
0.720 0.250 0.216
0.780 0.750 0.716
0.796 0.506 0.088
0.796 0.994 0.088
0.885 0.089 0.843
0.885 0.411 0.843
0.901 0.250 0.592
0.138 0.250 0.764
0.183 0.250 0.522
0.317 0.750 0.022
0.362 0.750 0.264
0.638 0.250 0.736
0.683 0.250 0.978
0.817 0.750 0.478
0.862 0.750 0.236

=====

ScGa2Fe2 PBEsol optimized geometry; crystal system = tetragonal; spin magnetization = 3.810 μB per formula unit; DFT total energy = -6.545 eV per atom; energy of formation = -0.3022 eV/atom
1.0
-1.812 1.812 5.596
1.812 -1.812 5.596
1.812 1.812 -5.596
Sc Ga Fe
1 2 2
Direct
0.000 0.000 0.000
0.391 0.391 0.000
0.609 0.609 0.000
0.250 0.750 0.500
0.750 0.250 0.500

=====

DFT total energy of number 1 (ScGa5Fe)?
-5.053 eV per atom

=====

Among the records above, which one has the lowest energy of formation?
Sc3Ga6Fe2

=====

What is the DFT total energy in the first record?
-5.053 eV per atom